# LaRuPt2

A geometry-optimized LaRuPt2 structure (PBE, the Alexandria database).

Values from the calculation:
M_tot	1.02	μB/f.u.
E_form	-68	kJ/mol of formula units

abc: 6.7108 6.7108 6.7108
angles: 90.00 90.00 90.00
Last column: nearest neighbours and their distance in Å.
Space group F-43m (No. 216)
Asymmetric unit:
1 La 0.0000 0.0000 0.0000 (multiplicity 4)  4 Ru 2.91, 4 Pt 2.91
2 Ru 0.2500 0.2500 0.7500 (multiplicity 4)  4 La 2.91, 4 Pt 2.91
3 Pt 0.0000 0.0000 0.5000 (multiplicity 4)  4 Ru 2.91, 4 Pt 2.91
4 Pt 0.2500 0.2500 0.2500 (multiplicity 4)  4 La 2.91, 4 Pt 2.91

=====

# InRe2IrCl

A geometry-optimized InRe2IrCl structure (PBE, the Alexandria database).

Values from the calculation:
ΔE_f (raw)	1.5742	eV per atom
M_tot	4.98	μB/f.u.

abc: 4.8562 4.8562 5.2943
angles: 90.00 90.00 90.00
Last column: nearest neighbours and their distance in Å.
Space group P4/mmm (No. 123)
Asymmetric unit:
1 In 0.0000 0.0000 0.0000 (multiplicity 1)  2 Ir 2.65
2 Re 0.0000 0.5000 0.5000 (multiplicity 2)  2 Ir 2.43
3 Ir 0.0000 0.0000 0.5000 (multiplicity 1)  4 Re 2.43, 2 In 2.65
4 Cl 0.5000 0.5000 0.0000 (multiplicity 1)  4 In 3.43, 8 Re 3.59

=====

# Y5Sb

A geometry-optimized Y5Sb structure (PBE, the Alexandria database).

Values from the calculation:
ΔE_f (raw)	-0.2751	eV per atom
E above lowest polymorph	18	kJ/mol of formula units
M_tot	0.00	μB/f.u.

abc: 5.3232 3.8795 17.5529
angles: 90.00 90.00 90.00
Last column: nearest neighbours and their distance in Å.
Space group Amm2 (No. 38)
Asymmetric unit:
1 Y 0.0000 0.0000 0.0000 (multiplicity 2)  10 Y 3.41-3.74
2 Y 0.0000 0.0000 0.3179 (multiplicity 2)  4 Y 3.31-3.51, 4 Sb 3.36
3 Y 0.0000 0.0000 0.6648 (multiplicity 2)  8 Y 3.31-3.48, 2 Sb 3.35
4 Y 0.5000 0.0000 0.1242 (multiplicity 2)  2 Sb 3.36, 8 Y 3.37-3.64
5 Y 0.5000 0.0000 0.4487 (multiplicity 2)  8 Y 3.41-3.64, 2 Sb 3.53
6 Sb 0.5000 0.0000 0.7804 (multiplicity 2)  10 Y 3.35-3.53

=====

# TlIn2ICl2

A geometry-optimized TlIn2ICl2 structure (PBE, the Alexandria database).

Values from the calculation:
ΔE_f (raw)	-0.7274	eV per atom
M_tot	0.00	μB/f.u.

abc: 7.2588 7.4602 8.0715
angles: 90.00 92.86 90.00
Last column: nearest neighbours and their distance in Å.
Space group P2_1/m (No. 11)
Asymmetric unit:
1 Tl 0.2298 0.2500 0.1031 (multiplicity 2)  2 Cl 3.11
2 In 0.2625 0.0166 0.6958 (multiplicity 4)  2 Cl 2.85-2.87
3 I 0.2692 0.7500 0.0577 (multiplicity 2)  2 In 3.53, 4 Tl 3.76-3.92
4 Cl 0.9997 0.2500 0.4181 (multiplicity 2)  2 In 2.87, 1 Tl 3.11
5 Cl 0.4926 0.2500 0.4192 (multiplicity 2)  2 In 2.85, 1 Tl 3.11

=====

# ThS6Cl2

A geometry-optimized ThS6Cl2 structure (PBE, the Alexandria database).

Values from the calculation:
ΔE_f (raw)	-0.6993	eV per atom
M_tot	0.00	μB/f.u.

abc: 4.5749 8.0668 8.1234
angles: 118.66 94.25 94.04
Last column: nearest neighbours and their distance in Å.
Space group P-1 (No. 2)
Asymmetric unit:
1 Th 0.0000 0.0000 0.0000 (multiplicity 1)  4 Cl 2.84, 6 S 2.96-3.05
2 S 0.0721 0.4339 0.2017 (multiplicity 2)  1 S 2.00
3 S 0.0726 0.1985 0.4309 (multiplicity 2)  1 S 2.00
4 S 0.3310 0.3342 0.3344 (multiplicity 2)  2 S 2.00
5 Cl 0.4996 0.1227 0.8806 (multiplicity 2)  2 Th 2.84

=====

# U3Mn6P5

A geometry-optimized U3Mn6P5 structure (PBE, the Alexandria database).

Values from the calculation:
M_tot	1.69	μB/f.u.
E_form	-946	kJ/mol of formula units

abc: 3.8158 11.4787 9.1200
angles: 90.00 90.00 90.00
Last column: nearest neighbours and their distance in Å.
Space group Pmmn (No. 59, origin choice 2)
Asymmetric unit:
1 U 0.2500 0.0911 0.2400 (multiplicity 4)  3 Mn 2.64-2.85, 6 P 2.87-2.94
2 U 0.2500 0.7500 0.2585 (multiplicity 2)  4 Mn 2.79-2.90, 6 P 2.81-2.88
3 Mn 0.2500 0.0538 0.9035 (multiplicity 4)  4 P 2.22-2.29
4 Mn 0.2500 0.2500 0.0307 (multiplicity 2)  4 P 2.38, 2 Mn 2.53, 2 U 2.64
5 Mn 0.2500 0.2500 0.5184 (multiplicity 2)  4 P 2.28-2.35
6 Mn 0.2500 0.5775 0.4904 (multiplicity 4)  4 P 2.30-2.32
7 P 0.2500 0.0760 0.6538 (multiplicity 4)  5 Mn 2.29-2.35
8 P 0.2500 0.6269 0.9916 (multiplicity 4)  5 Mn 2.22-2.38
9 P 0.2500 0.7500 0.6177 (multiplicity 2)  4 Mn 2.28-2.30

=====

# Er8Al3Sn2

A geometry-optimized Er8Al3Sn2 structure (PBE, the Alexandria database).

Values from the calculation:
M_tot	0.00	μB/f.u.
E_form	-290	kJ/mol of formula units

abc: 8.5746 15.6811 5.3284
angles: 90.00 90.00 90.00
Last column: nearest neighbours and their distance in Å.
Space group Cmmm (No. 65)
Asymmetric unit:
1 Er 0.0000 0.1049 0.0000 (multiplicity 4)  4 Al 3.13-3.24, 2 Sn 3.25, 2 Er 3.29-3.40
2 Er 0.0000 0.3218 0.0000 (multiplicity 4)  2 Sn 3.08, 2 Al 3.17, 5 Er 3.38-3.40
3 Er 0.2096 0.3886 0.5000 (multiplicity 8)  3 Al 3.04-3.20, 2 Sn 3.05-3.15, 2 Er 3.38
4 Al 0.0000 0.0000 0.5000 (multiplicity 2)  8 Er 3.04-3.13
5 Al 0.1742 0.5000 0.0000 (multiplicity 4)  1 Al 2.99, 8 Er 3.17-3.24
6 Sn 0.0000 0.2232 0.5000 (multiplicity 4)  8 Er 3.05-3.25

=====

# Pr5Os2Pb

A geometry-optimized Pr5Os2Pb structure (PBE, the Alexandria database).

Values from the calculation:
M_tot	0.00	μB/f.u.
E_form	-166	kJ/mol of formula units

abc: 8.0263 8.0263 14.4238
angles: 90.00 90.00 90.00
Last column: nearest neighbours and their distance in Å.
Space group I4/mcm (No. 140)
Asymmetric unit:
1 Pr 0.0000 0.0000 0.0000 (multiplicity 4)  4 Os 3.12
2 Pr 0.1629 0.3371 0.1300 (multiplicity 16)  3 Os 2.96-3.05
3 Os 0.1354 0.3646 0.5000 (multiplicity 8)  8 Pr 2.96-3.12, 1 Os 3.07
4 Pb 0.0000 0.0000 0.2500 (multiplicity 4)  10 Pr 3.47-3.61

=====

# CsCdIn

A geometry-optimized CsCdIn structure (PBE, the Alexandria database).

Values from the calculation:
E above lowest polymorph	37	kJ/mol of formula units
M_tot	0.00	μB/f.u.
E_form	13	kJ/mol of formula units

abc: 5.7777 5.7777 3.8859
angles: 90.00 90.00 120.00
Last column: nearest neighbours and their distance in Å.
Space group P-6m2 (No. 187)
Asymmetric unit:
1 Cs 0.0000 0.0000 0.0000 (multiplicity 1)  6 In 3.86, 6 Cd 3.86, 2 Cs 3.89
2 Cd 0.3333 0.6667 0.5000 (multiplicity 1)  3 In 3.34
3 In 0.6667 0.3333 0.5000 (multiplicity 1)  3 Cd 3.34

=====

# KS3Cl

A geometry-optimized KS3Cl structure (PBE, the Alexandria database).

Values from the calculation:
ΔE_f (raw)	-0.5891	eV per atom
E above lowest polymorph	0	kJ/mol of formula units
M_tot	0.00	μB/f.u.

abc: 15.3805 6.6491 8.8150
angles: 90.00 117.59 90.00
Last column: nearest neighbours and their distance in Å.
Space group C2/m (No. 12)
Asymmetric unit:
1 K 0.1651 0.0000 0.3374 (multiplicity 4)  1 Cl 2.95
2 S 0.1196 0.5000 0.8458 (multiplicity 4)  2 S 2.03
3 S 0.2045 0.2577 0.8628 (multiplicity 8)  2 S 2.03-2.16
4 Cl 0.1452 0.5000 0.3477 (multiplicity 4)  1 K 2.95

=====

# Be2CuI6

A geometry-optimized Be2CuI6 structure (PBE, the Alexandria database).

Values from the calculation:
ΔE_f (raw)	-0.3549	eV per atom
M_tot	0.00	μB/f.u.

abc: 14.2534 15.5554 6.8406
angles: 90.00 118.63 90.00
Last column: nearest neighbours and their distance in Å.
Space group C2/c (No. 15)
Asymmetric unit:
1 Be 0.2494 0.0731 0.3847 (multiplicity 8)  4 I 2.42-2.45
2 Cu 0.0000 0.2506 0.2500 (multiplicity 4)  4 I 2.59
3 I 0.0973 0.3505 0.5921 (multiplicity 8)  1 Be 2.42, 1 Cu 2.59
4 I 0.0981 0.1517 0.1024 (multiplicity 8)  1 Be 2.43, 1 Cu 2.59
5 I 0.2482 0.0708 0.7390 (multiplicity 8)  2 Be 2.43-2.45

=====

# NpCrP2Ru

A geometry-optimized NpCrP2Ru structure (PBE, the Alexandria database).

Values from the calculation:
M_tot	6.27	μB/f.u.
E_form	-295	kJ/mol of formula units

abc: 3.9005 3.9005 10.2015
angles: 90.00 90.00 90.00
Last column: nearest neighbours and their distance in Å.
Space group I-4m2 (No. 119)
Asymmetric unit:
1 Np 0.0000 0.0000 0.0000 (multiplicity 2)  8 P 3.01, 4 Cr 3.21, 4 Ru 3.21
2 Cr 0.0000 0.5000 0.2500 (multiplicity 2)  4 P 2.37
3 P 0.0000 0.0000 0.3816 (multiplicity 4)  2 Cr 2.37, 2 Ru 2.37, 1 P 2.42
4 Ru 0.0000 0.5000 0.7500 (multiplicity 2)  4 P 2.37

=====

- What is the formula in the eighth record?
  Pr5Os2Pb

=====

- Among the records above, which one has the highest M_tot?
  NpCrP2Ru

=====

- Among the records above, which one has the highest M_tot?
  NpCrP2Ru